The following is a DFT calculation (GGA-PBE) of crystalline LiGaSi2Se6 at its relaxed geometry.

a b c (Å): 6.7934 9.3463 9.3463
angles (deg): 86.15 71.25 71.25
Closest atoms and distances in Å follow each position.
Element x y z (fractional)
Se  0.9612  0.3050  0.4107  2 Si 2.31-2.34
Se  0.9024  0.0149  0.1846  1 Si 2.29, 1 Ga 2.50
Se  0.4024  0.1846  0.0149  1 Si 2.29, 1 Ga 2.50
Se  0.0388  0.6950  0.5893  2 Si 2.31-2.34
Se  0.6088  0.1085  0.6059  1 Si 2.32, 1 Ga 2.45, 1 Li 2.58
Se  0.5976  0.8154  0.9851  1 Si 2.29, 1 Ga 2.50
Se  0.4612  0.4107  0.3050  2 Si 2.31-2.34
Se  0.3912  0.8915  0.3941  1 Si 2.32, 1 Ga 2.45, 1 Li 2.58
Se  0.5388  0.5893  0.6950  2 Si 2.31-2.34
Se  0.0976  0.9851  0.8154  1 Si 2.29, 1 Ga 2.50
Se  0.1088  0.6059  0.1085  1 Si 2.32, 1 Ga 2.45, 1 Li 2.58
Se  0.8912  0.3941  0.8915  1 Si 2.32, 1 Ga 2.45, 1 Li 2.58
Ga  0.7500  0.8019  0.1981  4 Se 2.45-2.50
Ga  0.2500  0.1981  0.8019  4 Se 2.45-2.50
Si  0.7898  0.6322  0.7961  4 Se 2.29-2.34
Si  0.7102  0.2039  0.3678  4 Se 2.29-2.34
Si  0.2102  0.3678  0.2039  4 Se 2.29-2.34
Si  0.2898  0.7961  0.6322  4 Se 2.29-2.34
Li  0.7500  0.2100  0.7900  4 Se 2.58-2.67
Li  0.2500  0.7900  0.2100  4 Se 2.58-2.67

Computed properties:
Formation energy (no corrections) (eV/atom): -0.51
Electronic total energy (eV/atom): -4.178

The following is a DFT calculation (GGA-PBE) of crystalline KTa4Ir at its relaxed geometry.

a b c (Å): 5.5348 5.5348 5.5348
angles (deg): 60.00 60.00 60.00
Closest atoms and distances in Å follow each position.
Element x y z (fractional)
Ta  0.8744  0.3752  0.3752  6 Ta 2.76-2.77
Ta  0.3752  0.8744  0.3752  6 Ta 2.76-2.77
Ta  0.3752  0.3752  0.3752  6 Ta 2.76-2.77
Ta  0.3752  0.3752  0.8744  6 Ta 2.76-2.77
Ir  0.7500  0.7500  0.7500  12 Ta 3.24, 4 K 3.39
K  0.0000  0.0000  0.0000  12 Ta 3.25, 4 Ir 3.39

Computed properties:
ΔE_f (eV per atom): 0.937
Electronic total energy (eV/atom): -8.625

The following is a DFT calculation (GGA-PBE) of crystalline Tb2Th3 at its relaxed geometry.

a b c (Å): 6.7552 6.7552 9.5115
angles (deg): 69.20 69.20 60.00
Closest atoms and distances in Å follow each position.
Element x y z (fractional)
Th  0.7495  0.2500  0.2500  4 Th 3.38, 6 Tb 3.41-3.72
Th  0.2500  0.7505  0.2500  4 Th 3.38, 6 Tb 3.41-3.72
Th  0.2505  0.7500  0.7500  4 Th 3.38, 6 Tb 3.41-3.72
Th  0.7505  0.7495  0.2500  4 Th 3.38, 6 Tb 3.41-3.72
Th  0.2495  0.2505  0.7500  4 Th 3.38, 6 Tb 3.41-3.72
Th  0.7500  0.2495  0.7500  4 Th 3.38, 6 Tb 3.41-3.72
Tb  0.6907  0.6907  0.9279  1 Tb 3.09, 3 Th 3.41
Tb  0.3093  0.3093  0.0721  1 Tb 3.09, 3 Th 3.41
Tb  0.8093  0.8093  0.5721  1 Tb 3.09, 3 Th 3.41
Tb  0.1907  0.1907  0.4279  1 Tb 3.09, 3 Th 3.41

Computed properties:
ΔE_f (eV per atom): 0.364
Electronic total energy (eV/atom): -5.940

The following is a DFT calculation (GGA-PBE) of crystalline CoCuPt2 at its relaxed geometry.

a b c (Å): 8.7839 8.7839 8.7839
angles (deg): 17.81 17.81 17.81
Closest atoms and distances in Å follow each position.
Element x y z (fractional)
Pt  0.9989  0.9989  0.9989  3 Co 2.65, 3 Cu 2.69, 6 Pt 2.72
Pt  0.5011  0.5011  0.5011  3 Co 2.65, 3 Cu 2.69, 6 Pt 2.72
Cu  0.7500  0.7500  0.7500  6 Pt 2.69, 6 Cu 2.72
Co  0.2500  0.2500  0.2500  6 Pt 2.65, 6 Co 2.72

Computed properties:
ΔE_f (eV per atom): -0.130
Electronic total energy (eV/atom): -5.951

The following is a DFT calculation (GGA-PBE) of crystalline Pr2B2Rh3 at its relaxed geometry.

a b c (Å): 3.6190 5.3864 6.9142
angles (deg): 111.32 90.00 109.63
Closest atoms and distances in Å follow each position.
Element x y z (fractional)
Rh  0.6385  0.2769  0.4317  3 B 2.14-2.27
Rh  0.5000  0.0000  0.0000  4 B 2.67, 2 Rh 2.76, 4 Pr 2.96
Rh  0.3615  0.7231  0.5683  3 B 2.14-2.27
B  0.1561  0.3121  0.2789  3 Rh 2.14-2.27
B  0.8439  0.6879  0.7211  3 Rh 2.14-2.27
Pr  0.1293  0.2586  0.7838  3 B 2.76-2.99, 4 Rh 2.96-3.06
Pr  0.8707  0.7414  0.2162  3 B 2.76-2.99, 4 Rh 2.96-3.06

Computed properties:
ΔE_f (eV per atom): -0.410
Electronic total energy (eV/atom): -6.834

The following is a DFT calculation (GGA-PBE) of crystalline MgTc2B at its relaxed geometry.

a b c (Å): 3.7908 3.7908 8.9343
angles (deg): 77.75 77.75 90.00
Closest atoms and distances in Å follow each position.
Element x y z (fractional)
Tc  0.3750  0.4516  0.7500  2 Tc 2.31, 2 B 2.42
Tc  0.2016  0.6250  0.2500  2 Tc 2.31, 2 B 2.42
Tc  0.5484  0.1250  0.2500  2 Tc 2.31, 2 B 2.42
Tc  0.8750  0.7984  0.7500  2 Tc 2.31, 2 B 2.42
Mg  0.0000  0.0000  0.0000  4 Tc 2.64, 4 B 2.68
Mg  0.7500  0.2500  0.5000  4 Tc 2.64, 4 B 2.68
B  0.2500  0.7500  0.5000  4 Tc 2.42, 4 Mg 2.68
B  0.5000  0.5000  0.0000  4 Tc 2.42, 4 Mg 2.68

Computed properties:
ΔE_f (eV per atom): 0.760
Electronic total energy (eV/atom): -6.491

The following is a DFT calculation (GGA-PBE) of crystalline Nb2CuRu at its relaxed geometry.

a b c (Å): 3.0361 3.0361 6.8746
angles (deg): 90.00 90.00 90.00
Closest atoms and distances in Å follow each position.
Element x y z (fractional)
Nb  0.0000  0.0000  0.7487  4 Ru 2.74, 4 Cu 2.76, 4 Nb 3.04
Nb  0.0000  0.0000  0.2513  4 Ru 2.74, 4 Cu 2.76, 4 Nb 3.04
Cu  0.5000  0.5000  0.0000  8 Nb 2.76, 4 Cu 3.04
Ru  0.5000  0.5000  0.5000  8 Nb 2.74, 4 Ru 3.04

Computed properties:
ΔE_f (eV per atom): -0.017
Electronic total energy (eV/atom): -8.395

The following is a DFT calculation (GGA-PBE) of crystalline CsMn3S at its relaxed geometry.

a b c (Å): 4.6735 4.6735 4.6735
angles (deg): 90.00 90.00 90.00
Closest atoms and distances in Å follow each position.
Element x y z (fractional)
Mn  0.5000  0.0000  0.0000  2 S 2.34
Mn  0.0000  0.0000  0.5000  2 S 2.34
Mn  0.0000  0.5000  0.0000  2 S 2.34
Cs  0.5000  0.5000  0.5000  12 Mn 3.30
S  0.0000  0.0000  0.0000  6 Mn 2.34

Computed properties:
Formation energy (no corrections) (eV/atom): 0.71
Electronic total energy (eV/atom): -5.789

The following is a DFT calculation (GGA-PBE) of crystalline VInFeRu at its relaxed geometry.

a b c (Å): 4.3255 4.3255 4.3255
angles (deg): 60.00 60.00 60.00
Closest atoms and distances in Å follow each position.
Element x y z (fractional)
Fe  0.2500  0.2500  0.2500  4 In 2.65, 4 V 2.65
In  0.0000  0.0000  0.0000  4 Fe 2.65, 4 Ru 2.65
Ru  0.7500  0.7500  0.7500  4 In 2.65, 4 V 2.65
V  0.5000  0.5000  0.5000  4 Fe 2.65, 4 Ru 2.65

Computed properties:
ΔE_f (eV per atom): 0.012
Electronic total energy (eV/atom): -7.387

The following is a DFT calculation (GGA-PBE) of crystalline Sm2Y3TmSe6 at its relaxed geometry.

a b c (Å): 4.0883 8.2492 9.1666
angles (deg): 102.78 102.89 90.00
Closest atoms and distances in Å follow each position.
Element x y z (fractional)
Se  0.0025  0.7567  0.0050  2 Tm 2.87, 3 Y 2.93-2.94, 1 Sm 2.99
Se  0.6634  0.5874  0.3268  3 Y 2.84-2.86, 3 Sm 2.91-2.93
Se  0.9975  0.2433  0.9950  2 Tm 2.87, 3 Y 2.93-2.94, 1 Sm 2.99
Se  0.3373  0.9241  0.6745  1 Tm 2.83, 3 Y 2.89, 2 Sm 2.95
Se  0.6627  0.0759  0.3255  1 Tm 2.83, 3 Y 2.89, 2 Sm 2.95
Se  0.3366  0.4126  0.6732  3 Y 2.84-2.86, 3 Sm 2.91-2.93
Tm  0.5000  0.0000  0.0000  6 Se 2.83-2.87
Sm  0.8307  0.6632  0.6615  6 Se 2.91-2.99
Sm  0.1693  0.3368  0.3385  6 Se 2.91-2.99
Y  0.5000  0.5000  0.0000  6 Se 2.84-2.94
Y  0.8290  0.1668  0.6579  6 Se 2.86-2.93
Y  0.1710  0.8332  0.3421  6 Se 2.86-2.93

Computed properties:
Formation energy (no corrections) (eV/atom): -1.77
Electronic total energy (eV/atom): -6.283

The following is a DFT calculation (GGA-PBE) of crystalline ZrSb2Se at its relaxed geometry.

a b c (Å): 9.7529 9.7529 9.7529
angles (deg): 20.82 20.82 20.82
Closest atoms and distances in Å follow each position.
Element x y z (fractional)
Se  0.4813  0.4813  0.4813  3 Zr 2.65
Sb  0.0098  0.0098  0.0098  3 Zr 3.04, 3 Sb 3.27
Sb  0.2535  0.2535  0.2535  9 Sb 3.27-3.53, 3 Se 3.64
Zr  0.7554  0.7554  0.7554  3 Se 2.65

Computed properties:
Formation energy (no corrections) (eV/atom): -0.43
Electronic total energy (eV/atom): -5.501

The following is a DFT calculation (GGA-PBE) of crystalline Na3Bi4Pd4 at its relaxed geometry.

a b c (Å): 4.8697 3.5231 15.2829
angles (deg): 96.62 99.17 90.00
Closest atoms and distances in Å follow each position.
Element x y z (fractional)
Bi  0.5534  0.5534  0.1069  2 Pd 2.75
Bi  0.1894  0.6894  0.3789  5 Pd 2.80-2.83
Bi  0.8106  0.3106  0.6211  5 Pd 2.80-2.83
Bi  0.4466  0.4466  0.8931  2 Pd 2.75
Na  0.0000  0.0000  0.0000  4 Pd 3.37, 8 Bi 3.41, 2 Na 3.52
Na  0.6453  0.1453  0.2907  6 Bi 3.27-3.28, 6 Pd 3.27-3.35, 2 Na 3.52
Na  0.3547  0.8547  0.7093  6 Bi 3.27-3.28, 6 Pd 3.27-3.35, 2 Na 3.52
Pd  0.2626  0.2626  0.5251  4 Bi 2.81-2.83, 4 Pd 3.10
Pd  0.9040  0.4040  0.8080  3 Bi 2.75-2.80
Pd  0.7374  0.7374  0.4749  4 Bi 2.81-2.83, 4 Pd 3.10
Pd  0.0960  0.5960  0.1920  3 Bi 2.75-2.80

Computed properties:
ΔE_f (eV per atom): -0.241
Electronic total energy (eV/atom): -3.901

The following is a DFT calculation (GGA-PBE) of crystalline Zr3CoIr2 at its relaxed geometry.

a b c (Å): 4.3792 9.4170 10.6909
angles (deg): 90.00 90.00 90.00
Closest atoms and distances in Å follow each position.
Element x y z (fractional)
Zr  0.7500  0.6193  0.9472  1 Co 2.67, 5 Ir 2.72-2.82
Zr  0.2500  0.7031  0.2315  3 Ir 2.69-2.82, 2 Co 2.76
Zr  0.2500  0.3807  0.0528  1 Co 2.67, 5 Ir 2.72-2.82
Zr  0.7500  0.8807  0.4472  1 Co 2.67, 5 Ir 2.72-2.82
Zr  0.7500  0.9283  0.1098  3 Co 2.63-2.80, 3 Ir 2.78-2.79
Zr  0.2500  0.0717  0.8902  3 Co 2.63-2.80, 3 Ir 2.78-2.79
Zr  0.2500  0.7969  0.7315  3 Ir 2.69-2.82, 2 Co 2.76
Zr  0.7500  0.2031  0.2685  3 Ir 2.69-2.82, 2 Co 2.76
Zr  0.2500  0.1193  0.5528  1 Co 2.67, 5 Ir 2.72-2.82
Zr  0.2500  0.4283  0.3902  3 Co 2.63-2.80, 3 Ir 2.78-2.79
Zr  0.7500  0.5717  0.6098  3 Co 2.63-2.80, 3 Ir 2.78-2.79
Zr  0.7500  0.2969  0.7685  3 Ir 2.69-2.82, 2 Co 2.76
Co  0.2500  0.1119  0.1336  1 Ir 2.39, 2 Zr 2.63-2.67
Co  0.7500  0.6119  0.3664  1 Ir 2.39, 2 Zr 2.63-2.67
Co  0.2500  0.3881  0.6336  1 Ir 2.39, 2 Zr 2.63-2.67
Co  0.7500  0.8881  0.8664  1 Ir 2.39, 2 Zr 2.63-2.67
Ir  0.2500  0.5232  0.8232  1 Co 2.39
Ir  0.7500  0.1996  0.0046  7 Zr 2.69-2.82, 2 Co 2.72
Ir  0.2500  0.6996  0.4954  7 Zr 2.69-2.82, 2 Co 2.72
Ir  0.2500  0.9768  0.3232  1 Co 2.39
Ir  0.7500  0.0232  0.6768  1 Co 2.39
Ir  0.2500  0.8004  0.9954  7 Zr 2.69-2.82, 2 Co 2.72
Ir  0.7500  0.3004  0.5046  7 Zr 2.69-2.82, 2 Co 2.72
Ir  0.7500  0.4768  0.1768  1 Co 2.39

Computed properties:
ΔE_f (eV per atom): -0.606
Electronic total energy (eV/atom): -9.018

The following is a DFT calculation (GGA-PBE) of crystalline CaIr2Se at its relaxed geometry.

a b c (Å): 7.5354 7.5354 6.0194
angles (deg): 51.25 51.25 90.00
Closest atoms and distances in Å follow each position.
Element x y z (fractional)
Ca  0.2500  0.7500  0.5000  2 Se 2.80, 4 Ir 3.13
Ca  0.5000  0.5000  0.0000  2 Se 2.80, 4 Ir 3.13
Ir  0.8750  0.9451  0.7500  2 Se 2.42
Ir  0.0549  0.6250  0.2500  2 Se 2.42
Ir  0.3750  0.3049  0.7500  2 Se 2.42
Ir  0.6951  0.1250  0.2500  2 Se 2.42
Se  0.7500  0.2500  0.5000  4 Ir 2.42
Se  0.0000  0.0000  0.0000  4 Ir 2.42

Computed properties:
Formation energy (no corrections) (eV/atom): 0.14
Electronic total energy (eV/atom): -5.666

The following is a DFT calculation (GGA-PBE) of crystalline TaCu2Ir at its relaxed geometry.

a b c (Å): 2.6608 2.6608 8.8982
angles (deg): 90.00 90.00 112.29
Closest atoms and distances in Å follow each position.
Element x y z (fractional)
Ta  0.5000  0.5000  0.7500  6 Ta 2.66-2.96, 4 Cu 2.71
Cu  0.0000  0.0000  0.0053  2 Ir 2.63, 4 Cu 2.66, 2 Ta 2.71
Cu  0.0000  0.0000  0.4947  2 Ir 2.63, 4 Cu 2.66, 2 Ta 2.71
Ir  0.5000  0.5000  0.2500  4 Cu 2.63, 4 Ir 2.66

Computed properties:
ΔE_f (eV per atom): 0.227
Electronic total energy (eV/atom): -7.000

The following is a DFT calculation (GGA-PBE) of crystalline HgAs2Ir at its relaxed geometry.

a b c (Å): 10.2573 10.2573 10.2573
angles (deg): 163.40 163.51 23.48
Closest atoms and distances in Å follow each position.
Element x y z (fractional)
As  0.0934  0.0934  0.0000  2 Ir 2.55
As  0.7724  0.2724  0.5000  4 Ir 2.59
Ir  0.1965  0.6965  0.5000  6 As 2.55-2.59
Hg  0.4377  0.4377  0.0000  4 Hg 2.94-2.96

Computed properties:
ΔE_f (eV per atom): 0.014
Electronic total energy (eV/atom): -4.602

The following is a DFT calculation (GGA-PBE) of crystalline TaAg3Te at its relaxed geometry.

a b c (Å): 5.2281 5.2281 5.2281
angles (deg): 90.00 90.00 90.00
Closest atoms and distances in Å follow each position.
Element x y z (fractional)
Ag  0.5000  0.0000  0.0000  2 Te 2.61
Ag  0.0000  0.5000  0.0000  2 Te 2.61
Ag  0.0000  0.0000  0.5000  2 Te 2.61
Te  0.0000  0.0000  0.0000  6 Ag 2.61
Ta  0.5000  0.5000  0.5000  12 Ag 3.70

Computed properties:
Formation energy (no corrections) (eV/atom): 1.48
Electronic total energy (eV/atom): -3.229

The following is a DFT calculation (GGA-PBE) of crystalline LaDyY2 at its relaxed geometry.

a b c (Å): 3.6126 3.6126 11.9013
angles (deg): 81.27 81.27 60.00
Closest atoms and distances in Å follow each position.
Element x y z (fractional)
La  0.5000  0.5000  0.5000  6 La 3.61, 6 Y 3.65
Dy  0.0000  0.0000  0.0000  6 Y 3.54, 6 Dy 3.61
Y  0.2518  0.2518  0.2446  3 Dy 3.54, 6 Y 3.61, 3 La 3.65
Y  0.7482  0.7482  0.7554  3 Dy 3.54, 6 Y 3.61, 3 La 3.65

Computed properties:
ΔE_f (eV per atom): 0.020
Electronic total energy (eV/atom): -5.594

The following is a DFT calculation (GGA-PBE) of crystalline MgPRu at its relaxed geometry.

a b c (Å): 4.9575 3.0923 6.9049
angles (deg): 90.01 70.42 71.85
Closest atoms and distances in Å follow each position.
Element x y z (fractional)
Ru  0.4933  0.3993  0.3046  4 P 2.34-2.44, 1 Mg 2.61
Ru  0.9420  0.1753  0.8893  3 P 2.32-2.34
Mg  0.0002  0.6469  0.2148  5 Ru 2.61-2.82, 3 P 2.89-2.90
Mg  0.5021  0.3950  0.7044  5 P 2.74-2.94, 4 Ru 2.78-2.93
P  0.5471  0.8724  0.0200  4 Ru 2.34-2.44
P  0.1691  0.0612  0.5318  3 Ru 2.32-2.34

Computed properties:
ΔE_f (eV per atom): -0.460
Electronic total energy (eV/atom): -5.886

The following is a DFT calculation (GGA-PBE) of crystalline Nd2Pb at its relaxed geometry.

a b c (Å): 4.7020 8.3842 10.1494
angles (deg): 90.00 90.00 90.00
Closest atoms and distances in Å follow each position.
Element x y z (fractional)
Nd  0.2500  0.6336  0.9341  4 Pb 3.20-3.38, 2 Nd 3.51
Nd  0.7500  0.9541  0.8299  5 Pb 3.37-3.59, 2 Nd 3.72
Nd  0.7500  0.8664  0.4341  4 Pb 3.20-3.38, 2 Nd 3.51
Nd  0.7500  0.3664  0.0659  4 Pb 3.20-3.38, 2 Nd 3.51
Nd  0.7500  0.4541  0.6701  5 Pb 3.37-3.59, 2 Nd 3.72
Nd  0.2500  0.1336  0.5659  4 Pb 3.20-3.38, 2 Nd 3.51
Nd  0.2500  0.5459  0.3299  5 Pb 3.37-3.59, 2 Nd 3.72
Nd  0.2500  0.0459  0.1701  5 Pb 3.37-3.59, 2 Nd 3.72
Pb  0.2500  0.7377  0.6311  7 Nd 3.20-3.45
Pb  0.2500  0.2377  0.8689  7 Nd 3.20-3.45
Pb  0.7500  0.2623  0.3689  7 Nd 3.20-3.45
Pb  0.7500  0.7623  0.1311  7 Nd 3.20-3.45

Computed properties:
ΔE_f (eV per atom): -0.412
Electronic total energy (eV/atom): -4.827